(1)
LaPm2Tl | PBE | relaxed

```
4
Lattice="3.745 0.000 0.000 0.000 3.745 0.000 0.000 0.000 9.227" Properties=species:S:1:pos:R:3 pbc="T T T"
Tl 1.873 1.873 0.000
La 1.873 1.873 4.613
Pm 0.000 0.000 7.153
Pm 0.000 0.000 2.074
```

Density of states at the Fermi level = 4.3 states/eV per cell
Density = 8.1 Mg/m³
SG = P4/mmm (123)
Total magnetic moment = 0.00 μB/f.u.
Formation energy = -0.182 eV/atom



(2)
LaPm2Tl4 | PBE | relaxed

```
7
Lattice="5.172 0.000 0.000 2.586 4.479 0.000 2.586 1.493 9.382" Properties=species:S:1:pos:R:3 pbc="T T T"
La 0.000 0.000 0.000
Pm 2.586 1.493 5.673
Pm 7.759 4.480 3.709
Tl 5.172 2.986 6.724
Tl 2.586 1.493 1.605
Tl 7.759 4.479 7.777
Tl 5.172 2.986 2.658
```

Density of states at the Fermi level = 6.2 states/eV per cell
Density = 9.5 Mg/m³
SG = R-3m (166)
Total magnetic moment = 0.00 μB/f.u.
Formation energy = -0.156 eV/atom



(3)
LaPm7Tl4 | PBE | relaxed

```
12
Lattice="-5.342 -2.034 1.369 0.900 -5.812 7.490 -3.140 3.936 6.211" Properties=species:S:1:pos:R:3 pbc="T T T"
La 0.000 0.000 0.000
Pm -5.118 -4.651 10.971
Pm -2.465 0.741 4.100
Pm -0.640 -2.568 6.304
Pm -6.943 -1.342 8.767
Pm -3.356 -1.302 10.202
Pm -2.671 -1.017 0.685
Pm -4.226 -2.607 4.869
Tl -4.745 -0.102 6.566
Tl -2.837 -3.808 8.505
Tl -6.079 -1.502 11.899
Tl -1.504 -2.408 3.171
```

Density of states at the Fermi level = 13.3 states/eV per cell
Density = 8.4 Mg/m³
SG = C2/m (12)
Total magnetic moment = 0.16 μB/f.u.
Formation energy = -0.075 eV/atom



(4)
LaPm4Tl2 | PBE | relaxed

```
7
Lattice="-5.435 -0.737 2.551 1.798 -5.298 2.301 3.847 5.951 2.744" Properties=species:S:1:pos:R:3 pbc="T T T"
La 0.000 0.000 0.000
Pm -1.703 1.098 3.860
Pm 1.913 -1.182 3.735
Pm -2.718 -0.369 1.275
Pm 0.899 -2.649 1.150
Tl -1.275 -2.232 3.810
Tl 1.485 2.148 3.785
```

Density of states at the Fermi level = 8.6 states/eV per cell
Density = 8.1 Mg/m³
SG = I4/mmm (139)
Total magnetic moment = 0.02 μB/f.u.
Formation energy = 0.120 eV/atom



(5)
La4Pm3Tl | PBE | relaxed

```
16
Lattice="-1.798 4.059 -5.650 -6.977 -1.249 1.323 -0.340 8.440 6.171" Properties=species:S:1:pos:R:3 pbc="T T T"
Tl -5.852 3.203 4.163
Tl -3.262 5.857 0.677
Pm -5.683 -1.017 1.078
Pm -1.152 7.211 3.263
Pm -4.475 2.473 0.915
Pm -3.433 10.076 3.762
Pm -5.374 4.502 -1.908
Pm -2.051 9.241 0.437
La -2.194 -0.389 0.419
La -2.363 3.826 3.500
La -0.985 3.087 0.246
La -4.640 6.597 3.933
La -6.751 5.234 1.340
La -6.921 9.449 4.422
La -5.539 8.628 1.106
La -1.883 5.115 -2.578
```

Density of states at the Fermi level = 22.8 states/eV per cell
Density = 7.3 Mg/m³
SG = Pmna (53)
Total magnetic moment = 0.00 μB/f.u.
Formation energy = -0.090 eV/atom



(6)
LaPm2Tl | PBE | relaxed

```
4
Lattice="3.765 0.000 0.002 1.882 3.261 0.002 1.888 1.090 11.067" Properties=species:S:1:pos:R:3 pbc="T T T"
La 3.767 2.175 5.542
Pm 1.889 1.091 8.554
Pm 1.883 1.087 2.505
Tl 3.764 2.173 0.005
```

Density of states at the Fermi level = 6.2 states/eV per cell
Density = 7.7 Mg/m³
SG = Cm (8)
Total magnetic moment = 0.00 μB/f.u.
Formation energy = -0.095 eV/atom



(7)
La6PmTl2 | PBE | relaxed

```
9
Lattice="3.877 0.000 0.615 1.684 6.529 1.906 0.038 0.142 12.277" Properties=species:S:1:pos:R:3 pbc="T T T"
La 3.510 3.384 2.927
La 2.089 3.287 11.872
La 2.550 5.267 8.973
La 4.988 4.566 6.131
La 0.611 2.104 8.668
La 3.049 1.404 5.826
Pm 0.000 0.000 0.000
Tl 1.543 0.578 2.794
Tl 4.055 6.093 12.005
```

Density of states at the Fermi level = 12.7 states/eV per cell
Density = 7.4 Mg/m³
SG = C2/m (12)
Total magnetic moment = 0.00 μB/f.u.
Formation energy = -0.173 eV/atom



(8)
La2Pm2Tl3 | PBE | relaxed

```
7
Lattice="5.499 -0.003 -0.005 -2.740 7.850 1.984 0.003 0.573 5.542" Properties=species:S:1:pos:R:3 pbc="T T T"
La 2.757 6.269 4.945
La 0.006 2.151 2.576
Pm 2.755 2.400 5.345
Pm 0.008 6.021 2.176
Tl 0.000 0.000 0.000
Tl 2.757 4.054 2.372
Tl 0.006 4.366 5.149
```

Density of states at the Fermi level = 7.5 states/eV per cell
Density = 8.4 Mg/m³
SG = P-1 (2)
Total magnetic moment = 0.00 μB/f.u.
Formation energy = -0.272 eV/atom